! CaLaAs | Alexandria via LeMat-Bulk | PBE | relaxed; values from VASP
! Raw total energy (eV/atom): -4.715
! Energy above the lowest structure with this stoichiometry (meV/atom): 17.2
&SYSTEM
  ibrav = 0, nat = 3, ntyp = 3
/
ATOMIC_SPECIES
As 74.92 As.upf
Ca 40.08 Ca.upf
La 138.91 La.upf
ATOMIC_POSITIONS crystal
As 0.000 0.000 0.997
Ca 0.333 0.667 0.244
La 0.667 0.333 0.759
CELL_PARAMETERS angstrom
-2.195 3.638 -0.111
-1.792 -3.516 1.579
2.368 1.622 6.300